Record 1
Density functional theory data (PBE) for a relaxed Nd4TlIn3 crystal.

Cell: 3.8801 3.8801 15.5704 Å, 90.00 90.00 90.00°
Closest atoms and distances in Å follow each position.
Fractional coordinates of all 8 atoms:
1 Tl 0.5000 0.5000 0.0000  8 Nd 3.39
2 Nd 0.0000 0.0000 0.8726  4 In 3.36, 4 Tl 3.39
3 Nd 0.0000 0.0000 0.1274  4 In 3.36, 4 Tl 3.39
4 Nd 0.0000 0.0000 0.3762  8 In 3.35-3.36
5 Nd 0.0000 0.0000 0.6238  8 In 3.35-3.36
6 In 0.5000 0.5000 0.2516  8 Nd 3.36
7 In 0.5000 0.5000 0.5000  8 Nd 3.35
8 In 0.5000 0.5000 0.7484  8 Nd 3.36

Results
Formation energy, meV per atom: -470.5
D(E_F), states/eV/cell: 5.570
SG: P4/mmm

***

Record 2
Density functional theory data (PBE) for a relaxed Pm2PAu crystal.

Cell: 4.1301 4.1301 7.5739 Å, 74.18 74.18 60.00°
Closest atoms and distances in Å follow each position.
Fractional coordinates of all 4 atoms:
1 P 0.5000 0.5000 0.5000  6 Pm 2.88
2 Au 0.0000 0.0000 0.0000  6 Pm 3.10
3 Pm 0.7586 0.7586 0.7242  3 P 2.88, 3 Au 3.10
4 Pm 0.2414 0.2414 0.2758  3 P 2.88, 3 Au 3.10

Results
E above lowest polymorph, meV per atom: 13.2
Formation energy, meV per atom: -1084.3
D(E_F), states/eV/cell: 5.079
SG: R-3m

***

Record 3
Density functional theory data (PBE) for a relaxed Dy3Sb2Pd7 crystal.

Cell: 4.1008 4.1008 14.6310 Å, 98.06 98.06 90.00°
Closest atoms and distances in Å follow each position.
Fractional coordinates of all 12 atoms:
1 Dy 0.3223 0.3223 0.6446  1 Pd 2.77
2 Dy 0.6777 0.6777 0.3554  1 Pd 2.77
3 Dy 0.5000 0.5000 0.0000  12 Pd 2.90-2.93
4 Sb 0.1313 0.1313 0.2627  5 Pd 2.65-2.70
5 Sb 0.8687 0.8687 0.7373  5 Pd 2.65-2.70
6 Pd 0.0000 0.0000 0.0000  4 Dy 2.90, 8 Pd 2.93
7 Pd 0.9269 0.4269 0.8539  2 Sb 2.65, 6 Pd 2.90-2.93, 2 Dy 2.93
8 Pd 0.4269 0.9269 0.8539  2 Sb 2.65, 6 Pd 2.90-2.93, 2 Dy 2.93
9 Pd 0.0731 0.5731 0.1461  2 Sb 2.65, 6 Pd 2.90-2.93, 2 Dy 2.93
10 Pd 0.5731 0.0731 0.1461  2 Sb 2.65, 6 Pd 2.90-2.93, 2 Dy 2.93
11 Pd 0.2256 0.2256 0.4512  1 Sb 2.70, 1 Dy 2.77
12 Pd 0.7744 0.7744 0.5488  1 Sb 2.70, 1 Dy 2.77

Results
E_form (uncorrected), eV/atom: -0.770
D(E_F), states/eV/cell: 8.537
SG: I4/mmm

***

Record 4
Density functional theory data (PBE) for a relaxed LaCd2Ni crystal.

Cell: 4.1507 4.1507 5.4058 Å, 90.00 90.00 90.00°
Closest atoms and distances in Å follow each position.
Fractional coordinates of all 4 atoms:
1 Cd 0.0000 0.0000 0.0000  4 Cd 2.93
2 Cd 0.5000 0.5000 0.0000  4 Cd 2.93
3 La 0.5000 0.0000 0.5000  4 Ni 2.93
4 Ni 0.0000 0.5000 0.5000  4 La 2.93

Results
Formation energy, meV per atom: -90.9
D(E_F), states/eV/cell: 2.622
SG: P4/mmm